## P
MgTePd4 (PBE-GGA, relaxed); ρ = 9.51 g/cm³; magnetization = 0.0 μB per formula unit; N(E_F) = 2.17 states/eV/f.u.
1.0
4.747 0.000 0.000
0.000 4.351 2.442
0.000 -4.351 2.442
Mg Te Pd
1 1 4
Cartesian
0.000 0.000 0.000 Mg
2.374 0.000 2.010 Te
0.000 -1.429 2.529 Pd
0.000 1.429 2.529 Pd
2.374 -2.928 1.908 Pd
2.374 2.928 1.908 Pd

## Q
MgTePd4 (PBE-GGA, relaxed); ρ = 7.23 g/cm³; magnetization = 0.0 μB per formula unit; N(E_F) = 2.78 states/eV/f.u.
1.0
-3.913 3.913 4.334
3.913 -3.913 4.334
3.913 3.913 -4.334
Mg Te Pd
2 2 8
Cartesian
0.000 0.000 0.000 Mg
0.000 3.913 2.167 Mg
3.913 0.000 2.129 Te
0.000 0.000 4.296 Te
3.913 2.482 -2.195 Pd
0.000 1.430 2.139 Pd
1.378 3.913 -0.011 Pd
2.534 0.000 4.323 Pd
3.913 2.534 2.156 Pd
0.000 1.378 6.490 Pd
-1.430 3.913 4.306 Pd
1.430 3.913 4.306 Pd

Result of the stability comparison: P is the most stable of them.

## P
Th2MgPd (PBE-GGA, relaxed); ρ = 9.35 g/cm³; magnetization = 0.0 μB per formula unit; N(E_F) = 4.31 states/eV/f.u.
1.0
3.588 0.000 0.000
0.000 9.907 0.000
-1.793 0.000 5.944
Th Mg Pd
4 2 2
Cartesian
-0.002 0.542 1.528 Th
-0.002 4.411 1.528 Th
1.797 5.496 4.416 Th
1.797 9.365 4.416 Th
0.003 2.477 5.046 Mg
1.792 7.431 0.897 Mg
0.001 7.431 3.075 Pd
1.794 2.477 2.869 Pd

## Q
Th2MgPd (PBE-GGA, relaxed); ρ = 8.58 g/cm³; magnetization = 0.0 μB per formula unit; N(E_F) = 4.25 states/eV/f.u.
1.0
1.713 0.989 11.330
-1.713 0.989 11.330
0.000 -1.978 11.330
Th Mg Pd
2 1 1
Cartesian
0.000 0.000 3.384 Th
0.000 0.000 30.607 Th
0.000 0.000 0.000 Mg
0.000 0.000 16.996 Pd

Result of the stability comparison: P is the most stable of them.

## P
MgTiPd3 (PBE-GGA, relaxed); ρ = 8.15 g/cm³; magnetization = 0.0 μB per formula unit; N(E_F) = 3.21 states/eV/f.u.
1.0
4.059 0.000 0.000
0.000 5.521 0.000
-2.019 0.000 7.119
Mg Ti Pd
2 2 6
Cartesian
0.008 1.380 2.766 Mg
2.032 4.141 4.353 Mg
0.002 4.141 0.220 Ti
2.038 1.380 6.900 Ti
0.002 4.141 2.801 Pd
0.009 2.772 5.721 Pd
0.009 5.509 5.721 Pd
2.031 0.012 1.398 Pd
2.031 2.749 1.398 Pd
2.039 1.380 4.319 Pd

## Q
MgTiPd3 (PBE-GGA, relaxed); ρ = 6.37 g/cm³; magnetization = 0.0 μB per formula unit; N(E_F) = 3.71 states/eV/f.u.
1.0
4.674 0.000 0.000
0.000 4.674 0.000
0.000 0.000 4.674
Mg Ti Pd
1 1 3
Cartesian
0.000 0.000 0.000 Mg
2.337 2.337 2.337 Ti
0.000 2.337 2.337 Pd
2.337 0.000 2.337 Pd
2.337 2.337 0.000 Pd

Result of the stability comparison: P is the most stable of them.

## P
Mg3TiPd (PBE-GGA, relaxed); ρ = 2.70 g/cm³; magnetization = 2.9 μB per formula unit; N(E_F) = 5.39 states/eV/f.u.
1.0
5.190 0.000 0.000
0.000 5.190 0.000
0.000 0.000 5.190
Mg Ti Pd
3 1 1
Cartesian
0.000 0.000 2.595 Mg
0.000 2.595 0.000 Mg
2.595 0.000 0.000 Mg
0.000 0.000 0.000 Ti
2.595 2.595 2.595 Pd

## Q
Mg3TiPd (PBE-GGA, relaxed); ρ = 3.30 g/cm³; magnetization = 0.0 μB per formula unit; N(E_F) = 3.10 states/eV/f.u.
1.0
4.852 0.000 0.000
0.000 4.852 0.000
0.000 0.000 4.852
Mg Ti Pd
3 1 1
Cartesian
0.000 0.000 2.426 Mg
0.000 2.426 0.000 Mg
2.426 0.000 0.000 Mg
2.426 2.426 2.426 Ti
0.000 0.000 0.000 Pd

Result of the stability comparison: Q is the most stable of them.

## P
MgTl2Pd5 (PBE-GGA, relaxed); ρ = 11.46 g/cm³; magnetization = 0.0 μB per formula unit; N(E_F) = 3.75 states/eV/f.u.
1.0
-2.406 2.406 6.043
2.406 -2.406 6.043
2.406 2.406 -6.043
Mg Tl Pd
1 2 5
Cartesian
0.000 0.000 0.000 Mg
0.000 0.000 3.108 Tl
0.000 0.000 8.979 Tl
2.406 0.000 1.454 Pd
2.406 0.000 4.589 Pd
0.000 0.000 6.043 Pd
0.000 2.406 1.454 Pd
0.000 2.406 4.589 Pd

## Q
MgTl2Pd5 (PBE-GGA, relaxed); ρ = 11.58 g/cm³; magnetization = 0.0 μB per formula unit; N(E_F) = 1.29 states/eV/f.u.
1.0
3.884 -4.221 0.000
3.884 4.221 0.000
-3.874 0.000 4.222
Mg Tl Pd
1 2 5
Cartesian
0.000 0.000 0.000 Mg
0.005 2.110 2.111 Tl
0.005 -2.110 2.111 Tl
-1.937 0.000 2.111 Pd
1.942 2.110 0.000 Pd
1.942 -2.110 0.000 Pd
3.884 0.000 0.000 Pd
1.947 0.000 2.111 Pd

Result of the stability comparison: Q is the most stable of them.

## P
MgTlPd5 (PBE-GGA, relaxed); ρ = 10.10 g/cm³; magnetization = 0.0 μB per formula unit; N(E_F) = 5.49 states/eV/f.u.
1.0
3.927 0.000 0.000
0.000 3.927 0.000
0.000 0.000 8.109
Mg Tl Pd
1 1 5
Cartesian
0.000 0.000 0.000 Mg
1.963 1.963 4.055 Tl
0.000 1.963 2.014 Pd
0.000 1.963 6.096 Pd
1.963 0.000 2.014 Pd
1.963 0.000 6.096 Pd
1.963 1.963 0.000 Pd

## Q
MgTlPd5 (PBE-GGA, relaxed); ρ = 7.36 g/cm³; magnetization = 0.0 μB per formula unit; N(E_F) = 7.00 states/eV/f.u.
1.0
-3.704 4.435 2.612
3.704 -4.435 2.612
3.704 4.435 -2.612
Mg Tl Pd
1 1 5
Cartesian
0.000 0.000 0.000 Mg
0.000 4.435 1.602 Tl
3.704 0.000 1.608 Pd
3.704 2.346 0.644 Pd
2.361 4.435 -0.059 Pd
1.343 0.000 2.553 Pd
0.000 2.089 3.256 Pd

Result of the stability comparison: P is the most stable of them.

## P
Mg4TlPd (PBE-GGA, relaxed); ρ = 5.11 g/cm³; magnetization = 0.0 μB per formula unit; N(E_F) = 2.41 states/eV/f.u.
1.0
4.079 -6.221 0.000
4.079 6.221 0.000
-1.896 0.000 5.224
Mg Tl Pd
8 2 2
Cartesian
1.415 4.048 4.923 Mg
1.062 1.067 3.347 Mg
3.899 4.048 2.913 Mg
2.010 -1.067 0.735 Mg
4.252 1.067 4.489 Mg
2.363 -4.048 2.311 Mg
5.200 -1.067 1.877 Mg
4.848 -4.048 0.301 Mg
3.605 1.502 1.306 Tl
2.657 -1.502 3.918 Tl
2.657 6.201 3.918 Pd
3.605 -6.201 1.306 Pd

## Q
Mg4TlPd (PBE-GGA, relaxed); ρ = 4.73 g/cm³; magnetization = 0.0 μB per formula unit; N(E_F) = 3.22 states/eV/f.u.
1.0
4.046 -2.340 0.000
4.046 2.340 0.000
-2.673 0.000 7.564
Mg Tl Pd
4 1 1
Cartesian
0.008 0.000 2.643 Mg
2.697 0.000 0.725 Mg
2.722 0.000 6.840 Mg
5.411 0.000 4.921 Mg
2.709 0.000 3.782 Tl
0.000 0.000 0.000 Pd

Result of the stability comparison: P is the most stable of them.

## P
Mg3TlPd (PBE-GGA, relaxed); ρ = 4.98 g/cm³; magnetization = 0.0 μB per formula unit; N(E_F) = 2.46 states/eV/f.u.
1.0
5.040 0.000 0.000
0.000 5.040 0.000
0.000 0.000 5.040
Mg Tl Pd
3 1 1
Cartesian
0.000 0.000 2.520 Mg
0.000 2.520 0.000 Mg
2.520 0.000 0.000 Mg
2.520 2.520 2.520 Tl
0.000 0.000 0.000 Pd

## Q
Mg3TlPd (PBE-GGA, relaxed); ρ = 6.01 g/cm³; magnetization = 0.0 μB per formula unit; N(E_F) = 1.75 states/eV/f.u.
1.0
8.334 0.000 0.000
0.000 7.642 0.000
-3.104 0.000 6.663
Mg Tl Pd
12 4 4
Cartesian
-0.770 0.125 2.044 Mg
-2.322 3.696 5.375 Mg
1.919 0.770 0.609 Mg
0.367 3.051 3.940 Mg
0.131 5.481 6.156 Mg
1.683 5.982 2.824 Mg
3.548 1.660 3.839 Mg
5.100 2.161 0.507 Mg
4.864 4.591 2.723 Mg
3.312 6.873 6.054 Mg
7.553 3.946 1.288 Mg
6.001 7.517 4.619 Mg
0.788 0.377 4.802 Tl
2.340 3.444 1.471 Tl
2.891 4.198 5.192 Tl
4.442 7.265 1.861 Tl
-0.961 5.371 3.610 Pd
0.591 6.093 0.278 Pd
4.640 1.550 6.385 Pd
6.192 2.272 3.053 Pd

Result of the stability comparison: Q is the most stable of them.

## P
Mg6TlPd (PBE-GGA, relaxed); ρ = 4.56 g/cm³; magnetization = 0.0 μB per formula unit; N(E_F) = 4.05 states/eV/f.u.
1.0
4.374 0.000 0.000
0.000 4.374 0.000
0.000 0.000 8.688
Mg Tl Pd
6 1 1
Cartesian
0.000 0.000 0.000 Mg
0.000 0.000 4.344 Mg
0.000 2.187 1.956 Mg
0.000 2.187 6.731 Mg
2.187 0.000 1.956 Mg
2.187 0.000 6.731 Mg
2.187 2.187 4.344 Tl
2.187 2.187 0.000 Pd

## Q
Mg6TlPd (PBE-GGA, relaxed); ρ = 4.45 g/cm³; magnetization = 0.0 μB per formula unit; N(E_F) = 2.25 states/eV/f.u.
1.0
-2.303 2.303 8.038
2.303 -2.303 8.038
2.303 2.303 -8.038
Mg Tl Pd
6 1 1
Cartesian
2.303 0.000 1.807 Mg
0.000 0.000 4.011 Mg
2.303 0.000 6.231 Mg
0.000 2.303 1.807 Mg
0.000 0.000 12.065 Mg
0.000 2.303 6.231 Mg
0.000 0.000 8.038 Tl
0.000 0.000 0.000 Pd

Result of the stability comparison: P is the most stable of them.

## P
Mg5TlPd (PBE-GGA, relaxed); ρ = 4.80 g/cm³; magnetization = 0.0 μB per formula unit; N(E_F) = 1.09 states/eV/f.u.
1.0
3.312 -3.305 0.000
3.312 3.305 0.000
-0.145 0.000 13.671
Mg Tl Pd
10 2 2
Cartesian
3.204 3.301 10.253 Mg
1.610 1.650 5.413 Mg
1.542 1.638 12.248 Mg
4.943 1.650 1.423 Mg
1.614 -1.638 5.413 Mg
4.866 1.638 8.258 Mg
1.537 -1.650 12.248 Mg
4.938 -1.638 1.422 Mg
4.870 -1.650 8.258 Mg
3.276 -3.301 3.418 Mg
3.276 0.008 3.418 Tl
3.204 -0.008 10.253 Tl
0.000 0.000 0.000 Pd
-0.072 0.000 6.835 Pd

## Q
Mg5TlPd (PBE-GGA, relaxed); ρ = 4.55 g/cm³; magnetization = 0.0 μB per formula unit; N(E_F) = 2.93 states/eV/f.u.
1.0
4.482 0.000 0.000
0.000 4.482 0.000
0.000 0.000 7.848
Mg Tl Pd
5 1 1
Cartesian
0.000 0.000 0.000 Mg
0.000 2.241 2.393 Mg
0.000 2.241 5.456 Mg
2.241 0.000 2.393 Mg
2.241 0.000 5.456 Mg
2.241 2.241 0.000 Tl
2.241 2.241 3.924 Pd

Result of the stability comparison: P is the most stable of them.

## P
Mg4TlPd2 (PBE-GGA, relaxed); ρ = 6.21 g/cm³; magnetization = 0.0 μB per formula unit; N(E_F) = 2.39 states/eV/f.u.
1.0
2.350 -4.068 0.000
2.350 4.068 0.000
0.000 0.000 14.380
Mg Tl Pd
8 2 4
Cartesian
0.000 0.000 0.000 Mg
0.000 0.000 7.190 Mg
2.350 1.360 8.961 Mg
2.350 1.360 12.609 Mg
2.350 1.348 3.595 Mg
2.350 -1.348 10.785 Mg
2.350 -1.360 1.771 Mg
2.350 -1.360 5.419 Mg
2.350 4.062 3.595 Tl
2.350 -4.062 10.785 Tl
2.350 1.355 0.863 Pd
2.350 1.355 6.327 Pd
2.350 -1.355 8.053 Pd
2.350 -1.355 13.517 Pd

## Q
Mg4TlPd2 (PBE-GGA, relaxed); ρ = 6.20 g/cm³; magnetization = 0.0 μB per formula unit; N(E_F) = 2.43 states/eV/f.u.
1.0
6.042 0.000 0.000
-1.862 7.214 0.000
-2.229 -3.499 6.320
Mg Tl Pd
8 2 4
Cartesian
0.000 0.000 0.000 Mg
-2.240 3.533 2.762 Mg
-0.834 0.684 2.920 Mg
0.292 3.728 0.551 Mg
-1.086 3.069 5.933 Mg
2.241 0.938 2.083 Mg
1.135 0.836 6.201 Mg
2.672 -1.078 4.277 Mg
-0.353 -1.545 4.888 Tl
0.795 3.251 3.507 Tl
-0.860 5.782 2.001 Pd
2.141 5.642 1.883 Pd
4.232 1.863 0.565 Pd
3.142 1.625 4.600 Pd

Result of the stability comparison: Q is the most stable of them.